# Ag3WF7

Crystalline Ag3WF7 at its relaxed geometry (GGA+U, Alexandria via LeMat-Bulk).

Properties
calculated volume: 170.32 Å³/f.u.
total moment: 1.902 μB/cell
final energy: -4.411 eV per atom
density: 6.24 g cm⁻³
space group: Cm (8)

The structure in POSCAR format:
```
Ag3WF7
1.0
-4.3695 3.5555 -1.2319
-1.7381 -3.5544 -4.1948
-5.6636 -2.4933 0.9530
Ag W F
3 1 7
Direct
0.7533 0.2341 0.5103
0.4863 0.4863 0.9185
0.2341 0.7533 0.5103
0.9573 0.9573 0.0366
0.1202 0.1202 0.1964
0.6464 0.1247 0.1749
0.0060 0.3111 0.7336
0.1247 0.6464 0.1749
0.6789 0.6789 0.4019
0.3111 0.0060 0.7336
0.8069 0.8069 0.8588
```